This record from Alexandria via LeMat-Bulk describes a relaxed ScPaAl6 crystal. The functional is PBE-GGA.

Computed properties:
Total DFT energy (no corrections) ... -5.093 eV per atom
Fermi-level density of states ... 0.69 states/eV/atom

abc: 4.6285 6.1365 10.6092
angles: 90.00 90.00 90.00
With the nearest neighbours (Å) after each atom.
Atoms (fractional coordinates):
Sc: 0.0000 0.0000 0.0000  12 Al 2.99-3.07
Sc: 0.0000 0.5000 0.5000  12 Al 2.99-3.07
Pa: 0.5000 0.0000 0.3326  12 Al 3.03-3.07
Pa: 0.5000 0.5000 0.8326  12 Al 3.03-3.07
Al: 0.0000 0.0000 0.5176  6 Al 2.73-2.82, 2 Pa 3.03
Al: 0.0000 0.2223 0.7406  6 Al 2.73-2.82, 2 Pa 3.04
Al: 0.0000 0.2777 0.2406  6 Al 2.73-2.82, 2 Pa 3.04
Al: 0.0000 0.5000 0.0176  6 Al 2.73-2.82, 2 Pa 3.03
Al: 0.0000 0.7223 0.2406  6 Al 2.73-2.82, 2 Pa 3.04
Al: 0.0000 0.7777 0.7406  6 Al 2.73-2.82, 2 Pa 3.04
Al: 0.5000 0.0000 0.8214  6 Al 2.82-2.85, 2 Sc 2.99, 2 Pa 3.07
Al: 0.5000 0.2320 0.5887  6 Al 2.82-2.85, 2 Sc 2.99, 2 Pa 3.07
Al: 0.5000 0.2680 0.0887  6 Al 2.82-2.85, 2 Sc 2.99, 2 Pa 3.07
Al: 0.5000 0.5000 0.3214  6 Al 2.82-2.85, 2 Sc 2.99, 2 Pa 3.07
Al: 0.5000 0.7320 0.0887  6 Al 2.82-2.85, 2 Sc 2.99, 2 Pa 3.07
Al: 0.5000 0.7680 0.5887  6 Al 2.82-2.85, 2 Sc 2.99, 2 Pa 3.07

=====

This record from Alexandria via LeMat-Bulk describes a relaxed CaMnCo crystal. The functional is PBE-GGA.

Computed properties:
Total DFT energy (no corrections) ... -5.709 eV per atom
Excess energy over the best structure of this formula in the dataset ... 0.188 eV per atom
Fermi-level density of states ... 1.06 states/eV/atom

abc: 3.7450 3.7450 4.6411
angles: 90.00 90.00 120.00
With the nearest neighbours (Å) after each atom.
Atoms (fractional coordinates):
Ca: 0.0000 0.0000 0.0000  6 Mn 3.17, 6 Co 3.17
Mn: 0.3333 0.6667 0.5000  3 Co 2.16
Co: 0.6667 0.3333 0.5000  3 Mn 2.16

=====

This record from Alexandria via LeMat-Bulk describes a relaxed TaPRu3 crystal. The functional is PBE-GGA.

Computed properties:
Total DFT energy (no corrections) ... -8.774 eV per atom
Excess energy over the best structure of this formula in the dataset ... 0.000 eV per atom
Fermi-level density of states ... 0.84 states/eV/atom

abc: 4.3094 4.3094 4.3094
angles: 90.00 90.00 90.00
With the nearest neighbours (Å) after each atom.
Atoms (fractional coordinates):
Ta: 0.0000 0.0000 0.0000  12 Ru 3.05
P: 0.5000 0.5000 0.5000  6 Ru 2.15
Ru: 0.0000 0.5000 0.5000  2 P 2.15
Ru: 0.5000 0.0000 0.5000  2 P 2.15
Ru: 0.5000 0.5000 0.0000  2 P 2.15

=====

This record from Alexandria via LeMat-Bulk describes a relaxed Li2CdIr crystal. The functional is PBE-GGA.

Computed properties:
Total DFT energy (no corrections) ... -3.202 eV per atom
Fermi-level density of states ... 0.49 states/eV/atom

abc: 6.9852 6.9852 5.3491
angles: 90.00 90.00 90.00
With the nearest neighbours (Å) after each atom.
Atoms (fractional coordinates):
Li: 0.2351 0.2500 0.1250  2 Ir 2.49, 2 Cd 2.63, 2 Li 2.68
Li: 0.2500 0.7351 0.3750  2 Ir 2.49, 2 Cd 2.63, 2 Li 2.68
Li: 0.2500 0.7649 0.8750  2 Ir 2.49, 2 Cd 2.63, 2 Li 2.68
Li: 0.2649 0.2500 0.6250  2 Ir 2.49, 2 Cd 2.63, 2 Li 2.68
Li: 0.7351 0.7500 0.6250  2 Ir 2.49, 2 Cd 2.63, 2 Li 2.68
Li: 0.7500 0.2351 0.8750  2 Ir 2.49, 2 Cd 2.63, 2 Li 2.68
Li: 0.7500 0.2649 0.3750  2 Ir 2.49, 2 Cd 2.63, 2 Li 2.68
Li: 0.7649 0.7500 0.1250  2 Ir 2.49, 2 Cd 2.63, 2 Li 2.68
Cd: 0.0000 0.0000 0.5000  4 Li 2.63, 2 Ir 2.67
Cd: 0.0000 0.5000 0.7500  4 Li 2.63, 2 Ir 2.67
Cd: 0.5000 0.0000 0.2500  4 Li 2.63, 2 Ir 2.67
Cd: 0.5000 0.5000 0.0000  4 Li 2.63, 2 Ir 2.67
Ir: 0.0000 0.0000 0.0000  4 Li 2.49, 2 Cd 2.67
Ir: 0.0000 0.5000 0.2500  4 Li 2.49, 2 Cd 2.67
Ir: 0.5000 0.0000 0.7500  4 Li 2.49, 2 Cd 2.67
Ir: 0.5000 0.5000 0.5000  4 Li 2.49, 2 Cd 2.67

=====

This record from Alexandria via LeMat-Bulk describes a relaxed SrTl2Cr crystal. The functional is PBE-GGA.

Computed properties:
Total DFT energy (no corrections) ... -3.776 eV per atom
Fermi-level density of states ... 0.48 states/eV/atom

abc: 3.8977 5.2429 5.8629
angles: 90.00 90.03 90.00
With the nearest neighbours (Å) after each atom.
Atoms (fractional coordinates):
Sr: 0.0000 0.0000 0.0000  8 Tl 3.44-3.60, 4 Cr 3.65-3.66
Tl: 0.4996 0.5000 0.2142  2 Cr 2.90-2.96, 2 Tl 3.16
Tl: 0.5009 0.0000 0.5163  2 Cr 2.88, 2 Tl 3.16
Cr: 0.4980 0.5000 0.7199  4 Tl 2.88-2.96

=====

This record from Alexandria via LeMat-Bulk describes a relaxed La2Pm7Th2 crystal. The functional is PBE-GGA.

Computed properties:
Total DFT energy (no corrections) ... -5.070 eV per atom
Excess energy over the best structure of this formula in the dataset ... 0.027 eV per atom
Fermi-level density of states ... 1.33 states/eV/atom

abc: 11.0918 11.0918 11.0918
angles: 161.58 68.24 114.96
With the nearest neighbours (Å) after each atom.
Atoms (fractional coordinates):
La: 0.2094 0.0000 0.2094  2 La 3.55, 9 Pm 3.58-3.92
La: 0.7906 0.0000 0.7906  2 La 3.55, 9 Pm 3.58-3.92
Pm: 0.0932 0.7520 0.3412  2 Th 3.41, 6 Pm 3.51-3.70, 3 La 3.61-3.82
Pm: 0.4085 0.5088 0.8997  7 Pm 3.55-3.70, 3 Th 3.62-3.64, 2 La 3.92
Pm: 0.4108 0.7520 0.6588  2 Th 3.41, 6 Pm 3.51-3.70, 3 La 3.61-3.82
Pm: 0.5676 0.2443 0.3233  1 Th 3.25, 6 Pm 3.51-3.61, 3 La 3.58-3.59
Pm: 0.6091 0.5088 0.1003  7 Pm 3.55-3.70, 3 Th 3.62-3.64, 2 La 3.92
Pm: 0.9209 0.2443 0.6767  1 Th 3.25, 6 Pm 3.51-3.61, 3 La 3.58-3.59
Pm: 0.9668 0.9668 0.0000  3 Th 3.35-3.37, 2 Pm 3.55
Th: 0.2479 0.2479 0.0000  7 Pm 3.35-3.62, 2 Th 3.55
Th: 0.7262 0.2262 0.5000  4 Pm 3.25-3.37, 2 Th 3.55

=====

This record from Alexandria via LeMat-Bulk describes a relaxed La2Pm6DyHo3 crystal. The functional is PBE-GGA.

Computed properties:
Total DFT energy (no corrections) ... -4.704 eV per atom
Fermi-level density of states ... 1.44 states/eV/atom

abc: 6.2910 6.2910 12.0090
angles: 95.01 95.01 120.00
With the nearest neighbours (Å) after each atom.
Atoms (fractional coordinates):
La: 0.1669 0.8331 0.0000  3 La 3.63-3.64, 3 Dy 3.63, 6 Pm 3.67-3.68
La: 0.8331 0.1669 0.0000  3 La 3.63-3.64, 3 Dy 3.63, 6 Pm 3.67-3.68
Pm: 0.0827 0.4148 0.7452  3 Ho 3.58, 6 Pm 3.62-3.64, 1 Dy 3.67, 2 La 3.67
Pm: 0.2531 0.2531 0.2549  3 Ho 3.57-3.58, 6 Pm 3.62-3.64, 1 Dy 3.67, 2 La 3.68
Pm: 0.4148 0.0827 0.7452  3 Ho 3.58, 6 Pm 3.62-3.64, 1 Dy 3.67, 2 La 3.67
Pm: 0.5852 0.9173 0.2548  3 Ho 3.58, 6 Pm 3.62-3.64, 1 Dy 3.67, 2 La 3.67
Pm: 0.7469 0.7469 0.7451  3 Ho 3.57-3.58, 6 Pm 3.62-3.64, 1 Dy 3.67, 2 La 3.68
Pm: 0.9173 0.5852 0.2548  3 Ho 3.58, 6 Pm 3.62-3.64, 1 Dy 3.67, 2 La 3.67
Dy: 0.5000 0.5000 0.0000  6 La 3.63, 6 Pm 3.67
Ho: 0.0000 0.0000 0.5000  6 Pm 3.58, 6 Ho 3.63-3.64
Ho: 0.3338 0.6662 0.5000  6 Pm 3.57-3.58, 6 Ho 3.62-3.64
Ho: 0.6662 0.3338 0.5000  6 Pm 3.57-3.58, 6 Ho 3.62-3.64

=====

This record from Alexandria via LeMat-Bulk describes a relaxed NpFeSe crystal. The functional is PBE-GGA.

Computed properties:
Total DFT energy (no corrections) ... -8.485 eV per atom
Formation energy without anion corrections ... -0.1894 eV per atom
Fermi-level density of states ... 1.17 states/eV/atom

abc: 4.1651 4.3065 6.5476
angles: 104.89 91.78 91.33
With the nearest neighbours (Å) after each atom.
Atoms (fractional coordinates):
Np: 0.0000 0.0000 0.0000  1 Fe 2.06
Np: 0.3267 0.4664 0.1843  1 Fe 2.13
Fe: 0.3745 0.1465 0.3816  1 Np 2.13, 1 Se 2.38
Fe: 0.6378 0.0171 0.7811  1 Np 2.06
Se: 0.4012 0.5031 0.7504  3 Fe 2.36-2.50
Se: 0.8644 0.8954 0.4293  3 Fe 2.38-2.45

=====

This record from Alexandria via LeMat-Bulk describes a relaxed YMn2W crystal. The functional is PBE-GGA.

Computed properties:
Total DFT energy (no corrections) ... -8.888 eV per atom
Excess energy over the best structure of this formula in the dataset ... 0.316 eV per atom
Fermi-level density of states ... 1.40 states/eV/atom

abc: 3.4237 4.9100 8.6255
angles: 90.00 90.00 90.00
With the nearest neighbours (Å) after each atom.
Atoms (fractional coordinates):
Y: 0.0000 0.0000 0.0000  8 Mn 2.97-3.10, 4 W 2.99
Y: 0.5000 0.5000 0.5000  8 Mn 2.97-3.10, 4 W 2.99
Mn: 0.0000 0.5000 0.2186  2 W 2.55
Mn: 0.0000 0.5000 0.7814  2 W 2.55
Mn: 0.5000 0.0000 0.2814  2 W 2.55
Mn: 0.5000 0.0000 0.7186  2 W 2.55
W: 0.0000 0.0000 0.5000  4 Mn 2.55
W: 0.5000 0.5000 0.0000  4 Mn 2.55

=====

This record from Alexandria via LeMat-Bulk describes a relaxed CaMn3Pb crystal. The functional is PBE-GGA.

Computed properties:
Total DFT energy (no corrections) ... -5.698 eV per atom
Excess energy over the best structure of this formula in the dataset ... 0.000 eV per atom
Fermi-level density of states ... 1.80 states/eV/atom

abc: 5.1731 5.1731 5.1731
angles: 90.00 90.00 90.00
With the nearest neighbours (Å) after each atom.
Atoms (fractional coordinates):
Ca: 0.0000 0.0000 0.0000  12 Mn 3.66
Mn: 0.0000 0.5000 0.5000  2 Pb 2.59
Mn: 0.5000 0.0000 0.5000  2 Pb 2.59
Mn: 0.5000 0.5000 0.0000  2 Pb 2.59
Pb: 0.5000 0.5000 0.5000  6 Mn 2.59

=====

This record from Alexandria via LeMat-Bulk describes a relaxed ThTaC crystal. The functional is PBE-GGA.

Computed properties:
Total DFT energy (no corrections) ... -9.717 eV per atom
Excess energy over the best structure of this formula in the dataset ... 0.000 eV per atom
Fermi-level density of states ... 0.78 states/eV/atom

abc: 12.7651 3.4034 5.8577
angles: 90.00 114.49 90.00
With the nearest neighbours (Å) after each atom.
Atoms (fractional coordinates):
Th: 0.1120 0.0000 0.3030  3 C 2.55-2.64
Th: 0.3880 0.5000 0.6970  3 C 2.55-2.64
Th: 0.6120 0.5000 0.3030  3 C 2.55-2.64
Th: 0.8880 0.0000 0.6970  3 C 2.55-2.64
Ta: 0.1545 0.5000 0.8315  3 C 2.15-2.18
Ta: 0.3455 0.0000 0.1685  3 C 2.15-2.18
Ta: 0.6545 0.0000 0.8315  3 C 2.15-2.18
Ta: 0.8455 0.5000 0.1685  3 C 2.15-2.18
C: 0.2462 0.0000 0.7687  3 Ta 2.15-2.18
C: 0.2538 0.5000 0.2313  3 Ta 2.15-2.18
C: 0.7462 0.5000 0.7687  3 Ta 2.15-2.18
C: 0.7538 0.0000 0.2313  3 Ta 2.15-2.18

=====

This record from Alexandria via LeMat-Bulk describes a relaxed BaTbPd4 crystal. The functional is PBE-GGA.

Computed properties:
Total DFT energy (no corrections) ... -5.142 eV per atom
Fermi-level density of states ... 1.09 states/eV/atom

abc: 5.5938 5.5938 5.5938
angles: 60.00 60.00 60.00
With the nearest neighbours (Å) after each atom.
Atoms (fractional coordinates):
Ba: 0.0000 0.0000 0.0000  12 Pd 3.28, 4 Tb 3.43
Tb: 0.7500 0.7500 0.7500  12 Pd 3.28, 4 Ba 3.43
Pd: 0.3758 0.3758 0.3758  6 Pd 2.78-2.81
Pd: 0.3758 0.3758 0.8727  6 Pd 2.78-2.81
Pd: 0.3758 0.8727 0.3758  6 Pd 2.78-2.81
Pd: 0.8727 0.3758 0.3758  6 Pd 2.78-2.81